i:
DFT (PBE) results for a relaxed structure of AcNd6Y3.

Cell: 9.8606 15.6162 9.2527 Å, 90.00 90.00 90.00°
Last column: nearest neighbours and their distance in Å.
Space group Cmc2_1 (No. 36)
One atom of each set of equivalent atoms:
Ac 0.0000 0.2186 0.0000 x4  6 Nd 3.55-3.62, 3 Y 3.72-3.96
Nd 0.0000 0.0458 0.2494 x4  5 Nd 3.48-3.81, 1 Ac 3.55, 2 Y 3.71
Nd 0.0000 0.2791 0.3717 x4  3 Y 3.42-3.56, 3 Nd 3.44-3.81, 1 Ac 3.57
Nd 0.1753 0.3553 0.7561 x8  4 Nd 3.39-3.65, 3 Y 3.45-3.77, 1 Ac 3.56
Nd 0.2385 0.4372 0.4233 x8  4 Nd 3.39-3.65, 4 Y 3.41-3.72, 1 Ac 3.62
Y 0.0000 0.4476 0.1122 x4  7 Nd 3.44-3.77, 2 Y 3.50, 1 Ac 3.72
Y 0.1755 0.1431 0.5928 x8  6 Nd 3.41-3.71, 2 Y 3.46-3.50

Properties
- Mass density: 6.34 Mg/m³
- DOS(E_F): 1.463 states/eV per atom



ii:
DFT (PBE) results for a relaxed structure of AcNd6Y3.

Cell: 11.7230 3.6343 17.6115 Å, 90.00 109.24 90.00°
Last column: nearest neighbours and their distance in Å.
Space group P2_1/m (No. 11)
One atom of each set of equivalent atoms:
Ac 0.1592 0.2500 0.3127 x2  6 Nd 3.50-3.90, 2 Ac 3.63, 2 Y 3.90
Nd 0.0359 0.7500 0.0983 x2  3 Y 3.50-3.69, 6 Nd 3.63-3.75
Nd 0.1490 0.7500 0.7985 x2  2 Y 3.29-3.32, 1 Ac 3.50, 2 Nd 3.63
Nd 0.2505 0.7500 0.5042 x2  4 Y 3.31-3.65, 5 Nd 3.63-3.66, 2 Ac 3.67
Nd 0.3486 0.2500 0.1857 x2  3 Y 3.45-3.61, 1 Ac 3.63, 4 Nd 3.63-3.77
Nd 0.4370 0.2500 0.8978 x2  5 Y 3.53-3.72, 8 Nd 3.63-3.86
Nd 0.4701 0.7500 0.3971 x2  9 Nd 3.63-3.96, 2 Y 3.67, 2 Ac 3.90
Y 0.0668 0.2500 0.6018 x2  5 Nd 3.57-3.75, 6 Y 3.63-3.86, 2 Ac 3.90
Y 0.2490 0.7500 0.9984 x2  7 Nd 3.32-3.69, 2 Y 3.63
Y 0.3477 0.7500 0.7030 x2  5 Nd 3.29-3.67, 4 Y 3.63-3.67

Properties
- Mass density: 6.37 Mg/m³
- DOS(E_F): 1.665 states/eV per atom



Pick ii: it beats the second-best structure by 75 meV per atom.